1.
Here is an optimized crystal structure of SiB2C3 from the Alexandria database. Energies are from PBE.

Geometry as POSCAR:
```
SiB2C3
1.0
4.428 -1.328 0.000
4.428 1.328 0.000
-1.240 0.000 4.848
Si B C
1 2 3
Direct
0.000 0.000 0.000
0.263 0.263 0.178
0.630 0.630 0.821
0.143 0.143 0.375
0.629 0.629 0.507
0.801 0.801 0.056
```

Calculated values
D(E_F)   0.866 states/eV/f.u.
Relative energy among the computed polymorphs   16.4 kJ per mole of atoms
Formation energy (no corrections)   369 meV per atom
Space-group type   No. 8

***

2.
Here is an optimized crystal structure of SiB2C2 from the Alexandria database. Energies are from PBE.

Geometry as POSCAR:
```
SiB2C2
1.0
2.346 -1.356 0.000
2.346 1.356 0.000
-1.631 0.000 8.384
Si B C
1 2 2
Direct
0.000 0.000 0.000
0.244 0.244 0.746
0.756 0.756 0.254
0.084 0.084 0.241
0.916 0.916 0.759
```

Calculated values
D(E_F)   0.558 states/eV/f.u.
Relative energy among the computed polymorphs   0.5 kJ per mole of atoms
Formation energy (no corrections)   175 meV per atom
Space-group type   No. 12

***

3.
Here is an optimized crystal structure of SiB2C3 from the Alexandria database. Energies are from PBE.

Geometry as POSCAR:
```
SiB2C3
1.0
2.774 0.000 0.000
1.319 2.897 0.000
0.002 0.847 6.059
Si B C
1 2 3
Direct
0.000 0.000 0.000
0.233 0.536 0.607
0.417 0.170 0.415
0.280 0.440 0.860
0.552 0.899 0.225
0.710 0.587 0.452
```

Calculated values
D(E_F)   0.793 states/eV/f.u.
Relative energy among the computed polymorphs   41.4 kJ per mole of atoms
Formation energy (no corrections)   629 meV per atom
Space-group type   No. 1

***

4.
Here is an optimized crystal structure of SiB2C2 from the Alexandria database. Energies are from PBE.

Geometry as POSCAR:
```
SiB2C2
1.0
2.741 0.000 0.000
0.780 3.215 0.000
0.713 0.994 4.705
Si B C
1 2 2
Direct
0.000 0.000 0.000
0.172 0.891 0.562
0.934 0.426 0.257
0.387 0.463 0.449
0.572 0.067 0.694
```

Calculated values
D(E_F)   0.068 states/eV/f.u.
Relative energy among the computed polymorphs   30.8 kJ per mole of atoms
Formation energy (no corrections)   489 meV per atom
Space-group type   No. 1

***

5.
Here is an optimized crystal structure of SiB2C3 from the Alexandria database. Energies are from PBE.

Geometry as POSCAR:
```
SiB2C3
1.0
3.047 0.000 0.000
-1.487 3.804 0.000
-0.358 -1.454 4.419
Si B C
1 2 3
Direct
0.000 0.000 0.000
0.603 0.266 0.667
0.909 0.670 0.290
0.487 0.848 0.457
0.652 0.289 0.014
0.684 0.643 0.610
```

Calculated values
D(E_F)   0.739 states/eV/f.u.
Relative energy among the computed polymorphs   19.3 kJ per mole of atoms
Formation energy (no corrections)   400 meV per atom
Space-group type   No. 1

***

6.
Here is an optimized crystal structure of SiBC from the Alexandria database. Energies are from PBE.

Geometry as POSCAR:
```
SiBC
1.0
2.726 0.000 0.000
-1.363 2.361 0.000
0.000 0.000 4.414
Si B C
1 1 1
Direct
0.000 0.000 0.000
0.333 0.667 0.500
0.000 0.000 0.500
```

Calculated values
D(E_F)   0.923 states/eV/f.u.
Relative energy among the computed polymorphs   8.2 kJ per mole of atoms
Formation energy (no corrections)   238 meV per atom
Space-group type   No. 187